# 1
CaAcLaMg: optimized geometry, PBE.

Summary:
The value obtained for the total moment is 0.0 μB per formula unit. Its symmetry is F-43m, No. 216. As for the raw total energy: -0.116 Ha/atom. For the energy above the lowest structure with this stoichiometry, the calculation gives 0.038 eV/atom. As for the formation enthalpy at 0 K: 0.01 eV per atom.

Unit cell a=5.9125 b=5.9125 c=5.9125 alpha=60.00 beta=60.00 gamma=60.00
Sites, in units of the cell vectors:
La  0.7500  0.7500  0.7500
Mg  0.0000  0.0000  0.0000
Ca  0.5000  0.5000  0.5000
Ac  0.2500  0.2500  0.2500

***

# 2
CsRbV2As: optimized geometry, PBE.

Summary:
The value obtained for the total moment is 8.3 μB per formula unit. Its symmetry is P4/mmm, No. 123. As for the raw total energy: -0.114 Ha/atom. For the energy above the lowest structure with this stoichiometry, the calculation gives 0.000 eV/atom. As for the formation enthalpy at 0 K: 1.84 eV per atom.

Unit cell a=5.8569 b=6.2160 c=5.8569 alpha=90.00 beta=90.00 gamma=90.00
Sites, in units of the cell vectors:
Cs  0.5000  0.5000  0.5000
V  0.5000  0.0000  0.0000
As  0.0000  0.5000  0.0000
V  0.0000  0.0000  0.5000
Rb  0.0000  0.0000  0.0000

***

What did the second record say?
CsRbV2As: optimized geometry, PBE.

Summary:
The value obtained for the total moment is 8.3 μB per formula unit. Its symmetry is P4/mmm, No. 123. As for the raw total energy: -0.114 Ha/atom. For the energy above the lowest structure with this stoichiometry, the calculation gives 0.000 eV/atom. As for the formation enthalpy at 0 K: 1.84 eV per atom.

Unit cell a=5.8569 b=6.2160 c=5.8569 alpha=90.00 beta=90.00 gamma=90.00
Sites, in units of the cell vectors:
Cs  0.5000  0.5000  0.5000
V  0.5000  0.0000  0.0000
As  0.0000  0.5000  0.0000
V  0.0000  0.0000  0.5000
Rb  0.0000  0.0000  0.0000